ScCr2Ni2: optimized geometry, PBE-GGA.

Lattice parameters (Å, degrees): 7.202 7.202 2.547 90.00 90.00 90.00
Site moments in Bohr magnetons follow the coordinates.
Sites, in units of the cell vectors:
Sc  0.000  0.000  0.000  -0.02
Sc  0.500  0.500  0.000  -0.02
Ni  0.185  0.685  0.500  0.09
Ni  0.685  0.815  0.500  0.11
Ni  0.815  0.315  0.500  0.09
Ni  0.315  0.185  0.500  0.11
Cr  0.393  0.893  0.000  0.22
Cr  0.893  0.607  0.000  0.22
Cr  0.607  0.107  0.000  0.22
Cr  0.107  0.393  0.000  0.22

Properties
density of states at the Fermi level	14.066	states/eV per cell
space group	P4/mbm
crystal system	tetragonal
excess energy over the best structure of this formula in the dataset	29	meV per atom
energy	-7.324	eV per atom
energy of formation	0.52	eV per formula unit